(1)
Material: BaHg2Sb
Method: DFT, GGA-PBE
State: optimized geometry

Cell lengths 5.687, 5.687, 5.687 Å; angles 60.00, 60.00, 60.00 degrees
Sites, in units of the cell vectors:
Sb 0.250 0.250 0.250
Hg 0.000 0.000 0.000
Hg 0.750 0.750 0.750
Ba 0.500 0.500 0.500

## Properties
- Total energy: -2.10 eV per atom
- Energy relative to the elements, uncorrected: -0.43 eV/atom



(2)
Material: BaHgSb2
Method: DFT, GGA-PBE
State: optimized geometry

Cell lengths 6.470, 6.470, 6.470 Å; angles 139.59, 128.05, 67.81 degrees
Sites, in units of the cell vectors:
Sb 0.973 0.973 0.000
Sb 0.795 0.295 0.500
Hg 0.222 0.722 0.500
Ba 0.510 0.510 0.000

## Properties
- Total energy: -3.09 eV per atom
- Energy relative to the elements, uncorrected: -0.47 eV/atom



(3)
Material: Ba3HgSb3
Method: DFT, GGA-PBE
State: optimized geometry

Cell lengths 7.293, 11.471, 14.458 Å; angles 90.00, 90.00, 108.54 degrees
Sites, in units of the cell vectors:
Ba 0.706 0.000 0.858
Ba 0.794 0.000 0.358
Ba 0.206 0.000 0.642
Ba 0.294 0.000 0.142
Ba 0.036 0.654 0.371
Ba 0.464 0.346 0.871
Ba 0.882 0.346 0.129
Ba 0.618 0.654 0.629
Ba 0.964 0.346 0.629
Ba 0.536 0.654 0.129
Ba 0.118 0.654 0.871
Ba 0.382 0.346 0.371
Hg 0.413 0.826 0.500
Hg 0.087 0.174 0.000
Hg 0.587 0.174 0.500
Hg 0.913 0.826 0.000
Sb 0.222 0.000 0.890
Sb 0.278 0.000 0.390
Sb 0.722 0.000 0.610
Sb 0.778 0.000 0.110
Sb 0.556 0.674 0.377
Sb 0.944 0.326 0.877
Sb 0.382 0.326 0.123
Sb 0.118 0.674 0.623
Sb 0.444 0.326 0.623
Sb 0.056 0.674 0.123
Sb 0.618 0.674 0.877
Sb 0.882 0.326 0.377

## Properties
- Total energy: -3.45 eV per atom
- Energy relative to the elements, uncorrected: -0.82 eV/atom



(4)
Material: BaHg2Sb
Method: DFT, GGA-PBE
State: optimized geometry

Cell lengths 6.208, 6.208, 6.208 Å; angles 132.00, 132.00, 70.23 degrees
Sites, in units of the cell vectors:
Ba 0.750 0.250 0.500
Hg 0.000 0.000 0.000
Hg 0.250 0.750 0.500
Sb 0.500 0.500 0.000

## Properties
- Total energy: -2.05 eV per atom
- Energy relative to the elements, uncorrected: -0.39 eV/atom



(5)
Material: BaHg2Sb
Method: DFT, GGA-PBE
State: optimized geometry

Cell lengths 7.041, 7.041, 3.787 Å; angles 74.73, 74.73, 120.95 degrees
Sites, in units of the cell vectors:
Ba 0.000 0.500 0.500
Hg 0.000 0.000 0.000
Hg 0.500 0.500 0.000
Sb 0.500 0.000 0.500

## Properties
- Total energy: -1.95 eV per atom
- Energy relative to the elements, uncorrected: -0.29 eV/atom



(6)
Material: Ba2Hg16Sb
Method: DFT, GGA-PBE
State: optimized geometry

Cell lengths 8.433, 8.433, 8.433 Å; angles 76.35, 76.35, 76.35 degrees
Sites, in units of the cell vectors:
Ba 0.638 0.638 0.638
Ba 0.323 0.323 0.323
Hg 0.697 0.002 0.301
Hg 0.002 0.301 0.697
Hg 0.301 0.697 0.002
Hg 0.002 0.697 0.301
Hg 0.697 0.301 0.002
Hg 0.301 0.002 0.697
Hg 0.346 0.896 0.346
Hg 0.896 0.346 0.346
Hg 0.346 0.346 0.896
Hg 0.603 0.219 0.603
Hg 0.219 0.603 0.603
Hg 0.603 0.603 0.219
Hg 0.931 0.585 0.931
Hg 0.585 0.931 0.931
Hg 0.931 0.931 0.585
Hg 0.122 0.122 0.122
Sb 0.956 0.956 0.956

## Properties
- Total energy: -0.86 eV per atom
- Energy relative to the elements, uncorrected: -0.18 eV/atom



(7)
Material: BaHg2Sb
Method: DFT, GGA-PBE
State: optimized geometry

Cell lengths 4.100, 4.100, 7.577 Å; angles 90.00, 90.00, 90.00 degrees
Sites, in units of the cell vectors:
Ba 0.500 0.500 0.750
Hg 0.000 0.000 0.045
Hg 0.500 0.500 0.242
Sb 0.000 0.000 0.464

## Properties
- Total energy: -2.01 eV per atom
- Energy relative to the elements, uncorrected: -0.34 eV/atom



(8)
Material: BaHg4Sb2
Method: DFT, GGA-PBE
State: optimized geometry

Cell lengths 5.003, 5.083, 8.925 Å; angles 106.55, 90.00, 90.00 degrees
Sites, in units of the cell vectors:
Ba 0.000 0.000 0.000
Hg 0.500 0.812 0.623
Hg 0.000 0.697 0.394
Hg 0.500 0.188 0.377
Hg 0.000 0.303 0.606
Sb 0.500 0.583 0.167
Sb 0.500 0.417 0.833

## Properties
- Total energy: -1.86 eV per atom
- Energy relative to the elements, uncorrected: -0.24 eV/atom
- Energy above the lowest structure with this stoichiometry: 3 meV per atom



(9)
Material: BaHgSb2
Method: DFT, GGA-PBE
State: optimized geometry

Cell lengths 4.395, 4.395, 6.847 Å; angles 90.00, 90.00, 89.96 degrees
Sites, in units of the cell vectors:
Ba 0.500 0.500 0.250
Hg 0.500 0.500 0.750
Sb 0.000 0.000 0.958
Sb 0.000 0.000 0.542

## Properties
- Total energy: -2.93 eV per atom
- Energy relative to the elements, uncorrected: -0.31 eV/atom



(10)
Material: Ba2Hg5Sb3
Method: DFT, GGA-PBE
State: optimized geometry

Cell lengths 7.120, 10.285, 10.285 Å; angles 67.58, 69.75, 69.75 degrees
Sites, in units of the cell vectors:
Ba 0.122 0.640 0.115
Ba 0.622 0.115 0.640
Ba 0.878 0.360 0.885
Ba 0.378 0.885 0.360
Hg 0.363 0.248 0.026
Hg 0.863 0.026 0.248
Hg 0.637 0.752 0.974
Hg 0.137 0.974 0.752
Hg 0.513 0.737 0.737
Hg 0.487 0.263 0.263
Hg 0.750 0.500 0.500
Hg 0.250 0.500 0.500
Hg 0.987 0.263 0.263
Hg 0.013 0.737 0.737
Sb 0.382 0.479 0.756
Sb 0.882 0.756 0.479
Sb 0.618 0.521 0.244
Sb 0.118 0.244 0.521
Sb 0.250 0.000 0.000
Sb 0.750 0.000 0.000

## Properties
- Total energy: -2.18 eV per atom
- Energy relative to the elements, uncorrected: -0.41 eV/atom